Below is crystalline Mn2ZnO4 at its relaxed geometry, with properties calculated at the PBE with a Hubbard U level.

Values from the calculation:
ΔE to the lowest computed polymorph: 0.82 eV/f.u.
VASP energy: -6.60 eV/atom
spin magnetization: 8.0 μB/f.u.

Cell: 6.222 5.207 11.093 Å, 74.20 90.00 90.00°
Each line ends with the local moment (μB).
Positions (direct):
1 Mn 0.287 0.511 0.954  4.00
2 Mn 0.199 0.530 0.479  3.90
3 Mn 0.787 0.489 0.046  4.00
4 Mn 0.699 0.470 0.521  3.90
5 Mn 0.540 0.002 0.999  3.96
6 Mn 0.950 0.000 0.497  3.93
7 Mn 0.040 0.998 0.001  3.96
8 Mn 0.450 0.000 0.503  3.93
9 Zn 0.700 0.843 0.267  0.02
10 Zn 0.200 0.157 0.733  0.02
11 Zn 0.795 0.536 0.778  0.03
12 Zn 0.295 0.464 0.222  0.03
13 O 0.306 0.886 0.880  0.03
14 O 0.198 0.791 0.576  -0.11
15 O 0.806 0.114 0.120  0.03
16 O 0.698 0.209 0.424  -0.11
17 O 0.291 0.140 0.067  -0.15
18 O 0.205 0.278 0.382  0.02
19 O 0.791 0.860 0.933  -0.15
20 O 0.705 0.722 0.618  0.02
21 O 0.549 0.649 0.140  0.04
22 O 0.924 0.728 0.401  -0.04
23 O 0.049 0.351 0.860  0.04
24 O 0.424 0.272 0.599  -0.04
25 O 0.582 0.400 0.916  -0.06
26 O 0.974 0.251 0.602  -0.01
27 O 0.082 0.600 0.084  -0.06
28 O 0.474 0.749 0.398  -0.01